[1]
Compound: Ac3PdRh8
Source: Alexandria
Functional: PBE
Structure: relaxed

Computed properties:
final energy: -6.75 eV per atom

Lattice parameters (Å, degrees): 9.4877 9.4877 9.4877 33.56 33.56 33.56
Fractional coordinates of all 12 atoms:
1 Ac 0.0000 0.0000 0.0000
2 Ac 0.1312 0.1312 0.1312
3 Ac 0.6102 0.6102 0.6102
4 Pd 0.4861 0.4861 0.4861
5 Rh 0.0597 0.0597 0.5612
6 Rh 0.0597 0.5612 0.0597
7 Rh 0.0637 0.5628 0.5628
8 Rh 0.3116 0.3116 0.3116
9 Rh 0.5612 0.0597 0.0597
10 Rh 0.5628 0.0637 0.5628
11 Rh 0.5628 0.5628 0.0637
12 Rh 0.8118 0.8118 0.8118



[2]
Compound: Ac8PdRh4
Source: Alexandria
Functional: PBE
Structure: relaxed

Computed properties:
final energy: -5.73 eV per atom

Lattice parameters (Å, degrees): 10.7517 10.7517 14.2369 130.06 130.06 23.57
Fractional coordinates of all 13 atoms:
1 Ac 0.0000 0.0000 0.0000
2 Ac 0.0257 0.0257 0.7402
3 Ac 0.2962 0.2962 0.9235
4 Ac 0.3323 0.3323 0.6715
5 Ac 0.3747 0.3747 0.4114
6 Ac 0.6266 0.6266 0.5992
7 Ac 0.7050 0.7050 0.0731
8 Ac 0.9542 0.9542 0.2608
9 Pd 0.8329 0.8329 0.5170
10 Rh 0.0080 0.0080 0.5113
11 Rh 0.3260 0.3260 0.1578
12 Rh 0.5227 0.5227 0.8849
13 Rh 0.8121 0.8121 0.8007



[3]
Compound: Ac6Pd23Rh
Source: Alexandria
Functional: PBE
Structure: relaxed

Computed properties:
final energy: -5.63 eV per atom

Lattice parameters (Å, degrees): 9.3964 9.3964 9.3964 60.00 60.00 60.00
Fractional coordinates of all 30 atoms:
1 Ac 0.2222 0.2222 0.7778
2 Ac 0.2222 0.7778 0.2222
3 Ac 0.2222 0.7778 0.7778
4 Ac 0.7778 0.2222 0.2222
5 Ac 0.7778 0.2222 0.7778
6 Ac 0.7778 0.7778 0.2222
7 Pd 0.0000 0.0000 0.5000
8 Pd 0.0000 0.5000 0.0000
9 Pd 0.0000 0.5000 0.5000
10 Pd 0.1370 0.6210 0.6210
11 Pd 0.1739 0.1739 0.1739
12 Pd 0.1739 0.1739 0.4783
13 Pd 0.1739 0.4783 0.1739
14 Pd 0.3790 0.3790 0.3790
15 Pd 0.3790 0.3790 0.8630
16 Pd 0.3790 0.8630 0.3790
17 Pd 0.4783 0.1739 0.1739
18 Pd 0.5000 0.0000 0.0000
19 Pd 0.5000 0.0000 0.5000
20 Pd 0.5000 0.5000 0.0000
21 Pd 0.5000 0.5000 0.5000
22 Pd 0.5217 0.8261 0.8261
23 Pd 0.6210 0.1370 0.6210
24 Pd 0.6210 0.6210 0.1370
25 Pd 0.6210 0.6210 0.6210
26 Pd 0.8261 0.5217 0.8261
27 Pd 0.8261 0.8261 0.5217
28 Pd 0.8261 0.8261 0.8261
29 Pd 0.8630 0.3790 0.3790
30 Rh 0.0000 0.0000 0.0000



[4]
Compound: AcPd2Rh
Source: Alexandria
Functional: PBE
Structure: relaxed

Computed properties:
final energy: -5.84 eV per atom

Lattice parameters (Å, degrees): 4.8386 4.8386 4.8386 60.00 60.00 60.00
Fractional coordinates of all 4 atoms:
1 Ac 0.0000 0.0000 0.0000
2 Pd 0.2500 0.2500 0.2500
3 Pd 0.7500 0.7500 0.7500
4 Rh 0.5000 0.5000 0.5000



[5]
Compound: AcPdRh
Source: Alexandria
Functional: PBE
Structure: relaxed

Computed properties:
final energy: -6.18 eV per atom

Lattice parameters (Å, degrees): 4.4558 4.4558 4.1694 90.00 90.00 120.00
Fractional coordinates of all 3 atoms:
1 Ac 0.0000 0.0000 0.0000
2 Pd 0.6667 0.3333 0.5000
3 Rh 0.3333 0.6667 0.5000



[6]
Compound: Ac7PdRh4
Source: Alexandria
Functional: PBE
Structure: relaxed

Computed properties:
final energy: -5.92 eV per atom

Lattice parameters (Å, degrees): 7.4128 7.4128 13.0145 104.29 104.29 33.16
Fractional coordinates of all 12 atoms:
1 Ac 0.0000 0.0000 0.0000
2 Ac 0.2232 0.2232 0.8579
3 Ac 0.3049 0.3049 0.4341
4 Ac 0.5169 0.5169 0.2872
5 Ac 0.6095 0.6095 0.5921
6 Ac 0.7657 0.7657 0.1405
7 Ac 0.9198 0.9198 0.6974
8 Pd 0.1462 0.1462 0.2203
9 Rh 0.2646 0.2646 0.6451
10 Rh 0.3789 0.3789 0.0706
11 Rh 0.5687 0.5687 0.8327
12 Rh 0.9585 0.9585 0.4574



[7]
Compound: Ac3Pd3Rh
Source: Alexandria
Functional: PBE
Structure: relaxed

Computed properties:
final energy: -5.79 eV per atom

Lattice parameters (Å, degrees): 10.1569 10.1569 10.1569 156.11 154.12 35.51
Fractional coordinates of all 7 atoms:
1 Ac 0.0000 0.0000 0.0000
2 Ac 0.3615 0.3615 0.0000
3 Ac 0.6853 0.1853 0.5000
4 Pd 0.1159 0.6159 0.5000
5 Pd 0.5301 0.5301 0.0000
6 Pd 0.8339 0.8339 0.0000
7 Rh 0.2526 0.7526 0.5000



[8]
Compound: Ac6Pd2Rh
Source: Alexandria
Functional: PBE
Structure: relaxed

Computed properties:
final energy: -5.25 eV per atom

Lattice parameters (Å, degrees): 7.2025 7.9357 12.8549 90.00 120.08 90.00
Fractional coordinates of all 18 atoms:
1 Ac 0.0889 0.0489 0.2498
2 Ac 0.0889 0.4511 0.7498
3 Ac 0.2455 0.6790 0.0772
4 Ac 0.2455 0.8210 0.5772
5 Ac 0.3958 0.1841 0.0691
6 Ac 0.3958 0.3159 0.5691
7 Ac 0.6042 0.6841 0.4309
8 Ac 0.6042 0.8159 0.9309
9 Ac 0.7545 0.1790 0.4228
10 Ac 0.7545 0.3210 0.9228
11 Ac 0.9111 0.5489 0.2502
12 Ac 0.9111 0.9511 0.7502
13 Pd 0.3326 0.1156 0.7747
14 Pd 0.3326 0.3844 0.2747
15 Pd 0.6674 0.6156 0.7253
16 Pd 0.6674 0.8844 0.2253
17 Rh 0.0000 0.0000 0.0000
18 Rh 0.0000 0.5000 0.5000



[9]
Compound: Ac4PdRh
Source: Alexandria
Functional: PBE
Structure: relaxed

Computed properties:
final energy: -5.35 eV per atom

Lattice parameters (Å, degrees): 6.8348 7.5686 8.2895 90.00 107.71 90.00
Fractional coordinates of all 12 atoms:
1 Ac 0.0032 0.0009 0.2428
2 Ac 0.0032 0.4991 0.2428
3 Ac 0.4491 0.2500 0.6173
4 Ac 0.4521 0.2500 0.1080
5 Ac 0.5479 0.7500 0.8920
6 Ac 0.5509 0.7500 0.3827
7 Ac 0.9968 0.5009 0.7572
8 Ac 0.9968 0.9991 0.7572
9 Pd 0.2063 0.7500 0.5515
10 Pd 0.7937 0.2500 0.4485
11 Rh 0.2164 0.7500 0.0545
12 Rh 0.7836 0.2500 0.9455



[10]
Compound: Ac3PdRh3
Source: Alexandria
Functional: PBE
Structure: relaxed

Computed properties:
final energy: -6.31 eV per atom

Lattice parameters (Å, degrees): 10.1050 10.1050 10.1050 155.86 155.04 35.00
Fractional coordinates of all 7 atoms:
1 Ac 0.0000 0.0000 0.0000
2 Ac 0.3697 0.3697 0.0000
3 Ac 0.6810 0.1810 0.5000
4 Pd 0.2511 0.7511 0.5000
5 Rh 0.1153 0.6153 0.5000
6 Rh 0.5384 0.5384 0.0000
7 Rh 0.8381 0.8381 0.0000



[11]
Compound: Ac3Pd2Rh4
Source: Alexandria
Functional: PBE
Structure: relaxed

Computed properties:
final energy: -6.37 eV per atom

Lattice parameters (Å, degrees): 4.4330 4.4330 25.1813 90.00 90.00 120.00
Fractional coordinates of all 18 atoms:
1 Ac 0.0000 0.0000 0.0833
2 Ac 0.0000 0.0000 0.2501
3 Ac 0.0000 0.0000 0.4137
4 Ac 0.0000 0.0000 0.5863
5 Ac 0.0000 0.0000 0.7499
6 Ac 0.0000 0.0000 0.9167
7 Pd 0.3333 0.6667 0.5000
8 Pd 0.6667 0.3333 0.1669
9 Pd 0.6667 0.3333 0.5000
10 Pd 0.6667 0.3333 0.8331
11 Rh 0.3333 0.6667 0.0000
12 Rh 0.3333 0.6667 0.1670
13 Rh 0.3333 0.6667 0.3340
14 Rh 0.3333 0.6667 0.6660
15 Rh 0.3333 0.6667 0.8330
16 Rh 0.6667 0.3333 0.0000
17 Rh 0.6667 0.3333 0.3340
18 Rh 0.6667 0.3333 0.6660



[12]
Compound: Ac3Pd4Rh2
Source: Alexandria
Functional: PBE
Structure: relaxed

Computed properties:
final energy: -5.99 eV per atom

Lattice parameters (Å, degrees): 4.5124 4.5124 24.5633 90.00 90.00 120.00
Fractional coordinates of all 18 atoms:
1 Ac 0.0000 0.0000 0.0801
2 Ac 0.0000 0.0000 0.2495
3 Ac 0.0000 0.0000 0.4159
4 Ac 0.0000 0.0000 0.5841
5 Ac 0.0000 0.0000 0.7505
6 Ac 0.0000 0.0000 0.9199
7 Pd 0.3333 0.6667 0.1670
8 Pd 0.3333 0.6667 0.3333
9 Pd 0.3333 0.6667 0.5000
10 Pd 0.3333 0.6667 0.6667
11 Pd 0.3333 0.6667 0.8330
12 Pd 0.6667 0.3333 0.1671
13 Pd 0.6667 0.3333 0.5000
14 Pd 0.6667 0.3333 0.8329
15 Rh 0.3333 0.6667 0.0000
16 Rh 0.6667 0.3333 0.0000
17 Rh 0.6667 0.3333 0.3334
18 Rh 0.6667 0.3333 0.6666



| no. | formation enthalpy at 0 K (eV per atom) | V (Å³ per atom) |
| --- | --- | --- |
| 1 | -0.39 | 19.376 |
| 2 | -0.54 | 38.141 |
| 3 | -0.58 | 19.554 |
| 4 | -0.38 | 20.025 |
| 5 | -0.63 | 23.896 |
| 6 | -0.64 | 31.499 |
| 7 | -0.75 | 26.430 |
| 8 | -0.54 | 35.321 |
| 9 | -0.52 | 34.041 |
| 10 | -0.66 | 25.416 |
| 11 | -0.58 | 23.809 |
| 12 | -0.68 | 24.064 |